VCuO2 | PBE with a Hubbard U | relaxed

Unit cell a=3.1068 b=3.1068 c=11.4472 alpha=90.00 beta=90.00 gamma=120.00
Closest atoms and distances in Å follow each position.
Positions (direct):
V 0.0000 0.0000 0.0000  6 O 2.06
V 0.0000 0.0000 0.5000  6 O 2.06
Cu 0.3333 0.6667 0.2500  2 O 1.85
Cu 0.6667 0.3333 0.7500  2 O 1.85
O 0.3333 0.6667 0.0886  1 Cu 1.85, 3 V 2.06
O 0.3333 0.6667 0.4114  1 Cu 1.85, 3 V 2.06
O 0.6667 0.3333 0.5886  1 Cu 1.85, 3 V 2.06
O 0.6667 0.3333 0.9114  1 Cu 1.85, 3 V 2.06

Computed properties:
- raw total energy (eV per atom) = -6.840
- space group = No. 194